A geometry-optimized NdAl2SiPd structure. Source: Alexandria, functional PBE-GGA. Values from VASP.

Output
Symmetry: Imm2
E, eV/cell: -26.6
Uncorrected formation energy, meV per atom: -745.4

Geometry as Quantum ESPRESSO input:
```
&SYSTEM
  ibrav = 0, nat = 5, ntyp = 4
/
ATOMIC_SPECIES
Nd 144.24 Nd.upf
Al 26.98 Al.upf
Si 28.09 Si.upf
Pd 106.42 Pd.upf
CELL_PARAMETERS angstrom
-2.027 2.098 5.500
2.027 -2.098 5.500
2.027 2.098 -5.500
ATOMIC_POSITIONS angstrom
Nd 0.000 0.000 0.000
Al 0.000 0.000 4.212
Al 0.000 2.098 2.694
Si 0.000 0.000 6.686
Pd 2.027 0.000 2.652
```